Computed, not measured: a relaxed MgMnAlO2 crystal at the GGA+U level of DFT.

a = 3.6843 Å, b = 3.6843 Å, c = 5.1435 Å
α = 90.00°, β = 90.00°, γ = 90.00°
Sites, in units of the cell vectors:
Mg  0.0000  0.0000  0.0000
Mn  0.5000  0.5000  0.5000
Al  0.5000  0.5000  0.0000
O  0.0000  0.5000  0.5000
O  0.5000  0.0000  0.5000

Output
symmetry = P4/mmm
DFT total energy = -4.458 eV/atom
volume = 69.8 Å³ per cell